Density functional theory data (PBE-GGA) for Na2SrYTc after structural relaxation.

Its volume is 164 Å³/cell. The formation energy comes out at 1.151 eV per atom.

Cell and atoms, written as extended XYZ:
```
5
Lattice="5.595 0.000 0.000 0.000 5.595 0.000 0.000 0.000 5.226" Properties=species:S:1:pos:R:3 pbc="T T T"
Na 0.000 2.798 0.000
Na 2.798 0.000 0.000
Sr 0.000 0.000 2.613
Y 2.798 2.798 2.613
Tc 0.000 0.000 0.000
```


Density functional theory data (PBE-GGA) for Na2SrTe2 after structural relaxation.

Its uncorrected formation energy is -1.140 eV per atom. Its volume is 454 Å³/cell.

Cell and atoms, written as extended XYZ:
```
10
Lattice="8.296 0.000 0.000 0.000 4.791 0.000 -3.782 0.000 11.425" Properties=species:S:1:pos:R:3 pbc="T T T"
Na -1.058 1.198 4.686
Na -2.810 1.198 10.412
Na 7.324 3.594 1.013
Na 5.571 3.594 6.739
Sr 0.396 3.594 9.525
Sr 4.118 1.198 1.900
Te -1.121 1.198 7.768
Te 2.136 3.594 0.694
Te 2.378 1.198 10.731
Te 5.635 3.594 3.657
```


Density functional theory data (PBE-GGA) for Na2Sr2Te after structural relaxation.

Its uncorrected formation energy is -0.492 eV per atom. Its volume is 195 Å³/cell.

Cell and atoms, written as extended XYZ:
```
5
Lattice="-2.139 2.139 10.665 2.139 -2.139 10.665 2.139 2.139 -10.665" Properties=species:S:1:pos:R:3 pbc="T T T"
Na 2.139 0.000 5.332
Na 0.000 2.139 5.332
Sr 0.000 0.000 1.898
Sr 0.000 0.000 19.432
Te 0.000 0.000 10.665
```


Density functional theory data (PBE-GGA) for Na2SrTe2 after structural relaxation.

Its uncorrected formation energy is -1.064 eV per atom. Its volume is 161 Å³/cell.

Cell and atoms, written as extended XYZ:
```
5
Lattice="-2.247 2.247 7.983 2.247 -2.247 7.983 2.247 2.247 -7.983" Properties=species:S:1:pos:R:3 pbc="T T T"
Na 2.247 0.000 3.991
Na 0.000 2.247 3.991
Sr 0.000 0.000 0.000
Te 0.000 0.000 6.116
Te 0.000 0.000 9.850
```